A geometry-optimized CuHg2Pd6 structure, computed with PBE-GGA.

Computed properties:
The total magnetization comes out at 0.00 μB/cell. The crystal system is monoclinic. For the energy, the calculation gives -3.96 eV/atom. The value obtained for the mass density is 11.61 g/cm3.

a b c (Å): 9.266 5.602 6.361
angles (deg): 90.00 107.04 90.00
Space group C2/m (No. 12)
Asymmetric unit:
Cu: 0.000 0.000 0.000
Hg: 0.182 0.500 0.797
Pd: 0.096 0.253 0.363
Pd: 0.182 0.000 0.758



A geometry-optimized CuHg2Pd structure, computed with PBE-GGA.

Computed properties:
The total magnetization comes out at 0.00 μB/cell. The crystal system is tetragonal. For the energy, the calculation gives -2.45 eV/atom. The value obtained for the mass density is 13.44 g/cm3.

a b c (Å): 4.369 4.369 3.697
angles (deg): 90.00 90.00 90.00
Space group P4/mmm (No. 123)
Asymmetric unit:
Cu: 0.000 0.000 0.000
Hg: 0.000 0.500 0.500
Pd: 0.500 0.500 0.000



A geometry-optimized CuHg5Pd6 structure, computed with PBE-GGA.

Computed properties:
The total magnetization comes out at 0.00 μB/cell. The crystal system is orthorhombic. For the energy, the calculation gives -3.22 eV/atom. The value obtained for the mass density is 13.49 g/cm3.

a b c (Å): 4.291 7.583 12.898
angles (deg): 90.00 90.00 90.00
Space group Immm (No. 71)
Asymmetric unit:
Cu: 0.000 0.000 0.000
Hg: 0.000 0.000 0.333
Hg: 0.000 0.500 0.000
Hg: 0.000 0.500 0.339
Pd: 0.000 0.245 0.163
Pd: 0.000 0.257 0.500



A geometry-optimized CuHg2Pd4 structure, computed with PBE-GGA.

Computed properties:
The total magnetization comes out at 0.00 μB/cell. The crystal system is tetragonal. For the energy, the calculation gives -3.66 eV/atom. The value obtained for the mass density is 11.78 g/cm3.

a b c (Å): 5.567 5.567 8.100
angles (deg): 90.00 90.00 90.00
Space group I4/mmm (No. 139)
Asymmetric unit:
Cu: 0.000 0.000 0.000
Hg: 0.000 0.500 0.000
Pd: 0.250 0.250 0.250